1.
# Y3RhF | Alexandria via LeMat-Bulk | PBE-GGA | relaxed
data_Y3RhF
_space_group_name_H-M_alt 'P m -3 m'
_space_group_IT_number 221
_space_group_name_Hall '-P 4 2 3'
_cell_length_a 4.7440
_cell_length_b 4.7440
_cell_length_c 4.7440
_cell_angle_alpha 90.00
_cell_angle_beta 90.00
_cell_angle_gamma 90.00
loop_
_atom_site_label
_atom_site_fract_x
_atom_site_fract_y
_atom_site_fract_z
Y1 0.0000 0.0000 0.5000
Rh1 0.5000 0.5000 0.5000
F1 0.0000 0.0000 0.0000
# V   21.35 Å³ per atom
# Energy above the lowest structure with this stoichiometry   0.0 kJ/mol of atoms
# Final energy   -6.668 eV per atom

=====

2.
# Y2RhF | Alexandria via LeMat-Bulk | PBE-GGA | relaxed
data_Y2RhF
_space_group_name_H-M_alt 'R -3 m'
_space_group_IT_number 166
_space_group_name_Hall '-R 3 2"'
_cell_length_a 3.2251
_cell_length_b 3.2251
_cell_length_c 26.7041
_cell_angle_alpha 90.00
_cell_angle_beta 90.00
_cell_angle_gamma 120.00
loop_
_atom_site_label
_atom_site_fract_x
_atom_site_fract_y
_atom_site_fract_z
Y1 0.0000 0.0000 0.0952
Rh1 0.0000 0.0000 0.0000
F1 0.0000 0.0000 0.5000
# V   20.05 Å³ per atom
# Energy above the lowest structure with this stoichiometry   53.7 kJ/mol of atoms
# Final energy   -6.452 eV per atom

=====

3.
# YRh2F | Alexandria via LeMat-Bulk | PBE-GGA | relaxed
data_YRh2F
_space_group_name_H-M_alt 'F m -3 m'
_space_group_IT_number 225
_space_group_name_Hall '-F 4 2 3'
_cell_length_a 6.4016
_cell_length_b 6.4016
_cell_length_c 6.4016
_cell_angle_alpha 90.00
_cell_angle_beta 90.00
_cell_angle_gamma 90.00
loop_
_atom_site_label
_atom_site_fract_x
_atom_site_fract_y
_atom_site_fract_z
Y1 0.0000 0.0000 0.0000
Rh1 0.2500 0.2500 0.2500
F1 0.0000 0.0000 0.5000
# V   16.40 Å³ per atom
# Final energy   -6.114 eV per atom

=====

4.
# Y2RhF | Alexandria via LeMat-Bulk | PBE-GGA | relaxed
data_Y2RhF
_space_group_name_H-M_alt 'F m -3 m'
_space_group_IT_number 225
_space_group_name_Hall '-F 4 2 3'
_cell_length_a 6.8462
_cell_length_b 6.8462
_cell_length_c 6.8462
_cell_angle_alpha 90.00
_cell_angle_beta 90.00
_cell_angle_gamma 90.00
loop_
_atom_site_label
_atom_site_fract_x
_atom_site_fract_y
_atom_site_fract_z
Y1 0.2500 0.2500 0.2500
Rh1 0.0000 0.0000 0.0000
F1 0.0000 0.0000 0.5000
# V   20.06 Å³ per atom
# Energy above the lowest structure with this stoichiometry   19.4 kJ/mol of atoms
# Final energy   -6.807 eV per atom

=====

5.
# Y2RhF | Alexandria via LeMat-Bulk | PBE-GGA | relaxed
data_Y2RhF
_space_group_name_H-M_alt 'I -4 2 d'
_space_group_IT_number 122
_space_group_name_Hall 'I -4 2bw'
_cell_length_a 6.6942
_cell_length_b 6.6942
_cell_length_c 7.6600
_cell_angle_alpha 90.00
_cell_angle_beta 90.00
_cell_angle_gamma 90.00
loop_
_atom_site_label
_atom_site_fract_x
_atom_site_fract_y
_atom_site_fract_z
Y1 0.2079 0.2500 0.1250
Rh1 0.0000 0.0000 0.5000
F1 0.0000 0.0000 0.0000
# V   21.45 Å³ per atom
# Energy above the lowest structure with this stoichiometry   0.0 kJ/mol of atoms
# Final energy   -7.009 eV per atom

=====

6.
# ZnRhF5 | Alexandria via LeMat-Bulk | PBE-GGA | relaxed
data_ZnRhF5
_space_group_name_H-M_alt 'C 1 2/c 1'
_space_group_IT_number 15
_space_group_name_Hall '-C 2yc'
_cell_length_a 8.1904
_cell_length_b 7.1498
_cell_length_c 7.9767
_cell_angle_alpha 90.00
_cell_angle_beta 119.00
_cell_angle_gamma 90.00
loop_
_atom_site_label
_atom_site_fract_x
_atom_site_fract_y
_atom_site_fract_z
Zn1 0.0000 0.1227 0.2500
Rh1 0.0000 0.5000 0.0000
F1 0.0000 0.4549 0.2500
F2 0.0257 0.2202 0.4953
F3 0.2228 0.0338 0.8618
# V   14.59 Å³ per atom
# Final energy   -4.344 eV per atom

=====

7.
# ZnRhF4 | Alexandria via LeMat-Bulk | PBE-GGA | relaxed
data_ZnRhF4
_space_group_name_H-M_alt 'C 1 2/m 1'
_space_group_IT_number 12
_space_group_name_Hall '-C 2y'
_cell_length_a 9.3350
_cell_length_b 3.4195
_cell_length_c 5.5163
_cell_angle_alpha 90.00
_cell_angle_beta 104.78
_cell_angle_gamma 90.00
loop_
_atom_site_label
_atom_site_fract_x
_atom_site_fract_y
_atom_site_fract_z
Zn1 0.0000 0.0000 0.0000
Rh1 0.0000 0.5000 0.5000
F1 0.1061 0.5000 0.8751
F2 0.1110 0.0000 0.3607
# V   14.19 Å³ per atom
# Energy above the lowest structure with this stoichiometry   0.0 kJ/mol of atoms
# Final energy   -4.260 eV per atom

=====

8.
# Zn3RhF6 | Alexandria via LeMat-Bulk | PBE-GGA | relaxed
data_Zn3RhF6
_space_group_name_H-M_alt 'P -1'
_space_group_IT_number 2
_space_group_name_Hall '-P 1'
_cell_length_a 4.5348
_cell_length_b 5.3524
_cell_length_c 6.6931
_cell_angle_alpha 99.90
_cell_angle_beta 97.68
_cell_angle_gamma 103.47
loop_
_atom_site_label
_atom_site_fract_x
_atom_site_fract_y
_atom_site_fract_z
Zn1 0.0000 0.0000 0.0000
Zn2 0.0000 0.5000 0.0000
Zn3 0.5000 0.0000 0.5000
Rh1 0.0000 0.5000 0.5000
F1 0.1898 0.1925 0.4157
F2 0.2599 0.6098 0.7917
F3 0.3108 0.7145 0.2580
# V   15.30 Å³ per atom
# Energy above the lowest structure with this stoichiometry   15.4 kJ/mol of atoms
# Final energy   -3.683 eV per atom

=====

9.
# ZnRhF2 | Alexandria via LeMat-Bulk | PBE-GGA | relaxed
data_ZnRhF2
_space_group_name_H-M_alt 'I -4 2 d'
_space_group_IT_number 122
_space_group_name_Hall 'I -4 2bw'
_cell_length_a 5.3243
_cell_length_b 5.3243
_cell_length_c 8.2518
_cell_angle_alpha 90.00
_cell_angle_beta 90.00
_cell_angle_gamma 90.00
loop_
_atom_site_label
_atom_site_fract_x
_atom_site_fract_y
_atom_site_fract_z
Zn1 0.0000 0.0000 0.0000
Rh1 0.0000 0.0000 0.5000
F1 0.1788 0.2500 0.1250
# V   14.62 Å³ per atom
# Energy above the lowest structure with this stoichiometry   0.0 kJ/mol of atoms
# Final energy   -3.716 eV per atom

=====

10.
# ZnRh2F | Alexandria via LeMat-Bulk | PBE-GGA | relaxed
data_ZnRh2F
_space_group_name_H-M_alt 'F m -3 m'
_space_group_IT_number 225
_space_group_name_Hall '-F 4 2 3'
_cell_length_a 6.0090
_cell_length_b 6.0090
_cell_length_c 6.0090
_cell_angle_alpha 90.00
_cell_angle_beta 90.00
_cell_angle_gamma 90.00
loop_
_atom_site_label
_atom_site_fract_x
_atom_site_fract_y
_atom_site_fract_z
Zn1 0.0000 0.0000 0.0000
Rh1 0.2500 0.2500 0.2500
F1 0.0000 0.0000 0.5000
# V   13.56 Å³ per atom
# Energy above the lowest structure with this stoichiometry   0.0 kJ/mol of atoms
# Final energy   -4.422 eV per atom

=====

11.
# ZnRhF4 | Alexandria via LeMat-Bulk | PBE-GGA | relaxed
data_ZnRhF4
_space_group_name_H-M_alt 'I -4'
_space_group_IT_number 82
_space_group_name_Hall 'I -4'
_cell_length_a 6.1670
_cell_length_b 6.1670
_cell_length_c 5.0593
_cell_angle_alpha 90.00
_cell_angle_beta 90.00
_cell_angle_gamma 90.00
loop_
_atom_site_label
_atom_site_fract_x
_atom_site_fract_y
_atom_site_fract_z
Zn1 0.0000 0.0000 0.0000
Rh1 0.0000 0.5000 0.7500
F1 0.1419 0.7985 0.7595
# V   16.03 Å³ per atom
# Energy above the lowest structure with this stoichiometry   2.0 kJ/mol of atoms
# Final energy   -4.239 eV per atom

=====

12.
# Zn3RhF6 | Alexandria via LeMat-Bulk | PBE-GGA | relaxed
data_Zn3RhF6
_space_group_name_H-M_alt 'P -1'
_space_group_IT_number 2
_space_group_name_Hall '-P 1'
_cell_length_a 5.3575
_cell_length_b 5.5082
_cell_length_c 6.0146
_cell_angle_alpha 74.85
_cell_angle_beta 79.91
_cell_angle_gamma 62.53
loop_
_atom_site_label
_atom_site_fract_x
_atom_site_fract_y
_atom_site_fract_z
Zn1 0.0000 0.0000 0.0000
Zn2 0.0000 0.0000 0.5000
Zn3 0.5000 0.5000 0.0000
Rh1 0.0000 0.5000 0.0000
F1 0.0652 0.3280 0.3321
F2 0.2898 0.7750 0.2359
F3 0.3041 0.8674 0.7449
# V   15.17 Å³ per atom
# Energy above the lowest structure with this stoichiometry   0.0 kJ/mol of atoms
# Final energy   -3.843 eV per atom